Compound: CeZnNi2
Source: Alexandria via LeMat-Bulk
Functional: PBE
Structure: optimized geometry

Cell: 5.199 5.199 16.130 Å, 90.00 90.00 120.00°
Site moments in Bohr magnetons follow the coordinates.
Element x y z (fractional)
Zn 0.000 0.000 0.000  0.00
Zn 0.000 0.000 0.750  0.00
Zn 0.667 0.333 0.750  0.00
Zn 0.000 0.000 0.250  0.00
Zn 0.000 0.000 0.500  0.00
Zn 0.333 0.667 0.250  0.00
Ni 0.832 0.168 0.874  -0.01
Ni 0.832 0.664 0.874  -0.01
Ni 0.664 0.832 0.126  -0.01
Ni 0.168 0.832 0.126  -0.01
Ni 0.168 0.336 0.126  -0.01
Ni 0.336 0.168 0.874  -0.01
Ni 0.832 0.664 0.626  -0.01
Ni 0.832 0.168 0.626  -0.01
Ni 0.336 0.168 0.626  -0.01
Ni 0.168 0.832 0.374  -0.01
Ni 0.168 0.336 0.374  -0.01
Ni 0.664 0.832 0.374  -0.01
Ce 0.667 0.333 0.452  0.24
Ce 0.667 0.333 0.048  0.24
Ce 0.333 0.667 0.548  0.24
Ce 0.333 0.667 0.750  0.60
Ce 0.667 0.333 0.250  0.60
Ce 0.333 0.667 0.952  0.24

## Properties
Its formation energy is -342 meV per atom. The density of states at the Fermi level comes out at 1.416 states/eV per atom.